# PBE Sr2MgPb, relaxed
data_Sr2MgPb
_chemical_formula_sum 'Sr4 Mg2 Pb2'
_cell_length_a 3.775
_cell_length_b 6.422
_cell_length_c 13.828
_cell_angle_alpha 90.00
_cell_angle_beta 90.00
_cell_angle_gamma 90.00
_space_group_name_H-M_alt 'I m m m'
_space_group_IT_number 71
_space_group_name_Hall '-I 2 2'
loop_
_atom_site_label
_atom_site_fract_x
_atom_site_fract_y
_atom_site_fract_z
_atom_site_occupancy
Sr1 0.000 0.000 0.242 1
Mg1 0.000 0.000 0.500 1
Pb1 0.000 0.000 0.000 1
# Formation energy from the elements = 0.315 eV/atom

# PBE Ac2NdIO4, relaxed
data_Ac2NdIO4
_chemical_formula_sum 'Ac2 Nd1 I1 O4'
_cell_length_a 4.203
_cell_length_b 4.203
_cell_length_c 10.130
_cell_angle_alpha 90.00
_cell_angle_beta 90.00
_cell_angle_gamma 90.00
_space_group_name_H-M_alt 'P 4/m m m'
_space_group_IT_number 123
_space_group_name_Hall '-P 4 2'
loop_
_atom_site_label
_atom_site_fract_x
_atom_site_fract_y
_atom_site_fract_z
_atom_site_occupancy
Ac1 0.000 0.000 0.249 1
Nd1 0.500 0.500 0.500 1
I1 0.500 0.500 0.000 1
O1 0.000 0.500 0.358 1
# Raw formation energy = -3.0902 eV per atom

# PBE CsK2Na2Sn2, relaxed
data_CsK2Na2Sn2
_chemical_formula_sum 'Cs2 K4 Na4 Sn4'
_cell_length_a 10.519
_cell_length_b 6.072
_cell_length_c 8.768
_cell_angle_alpha 90.00
_cell_angle_beta 113.60
_cell_angle_gamma 90.00
_space_group_name_H-M_alt 'C 1 2/m 1'
_space_group_IT_number 12
_space_group_name_Hall '-C 2y'
loop_
_atom_site_label
_atom_site_fract_x
_atom_site_fract_y
_atom_site_fract_z
_atom_site_occupancy
Cs1 0.000 0.000 0.000 1
K1 0.151 0.000 0.451 1
Na1 0.209 0.500 0.127 1
Sn1 0.063 0.500 0.692 1
# Formation energy from the elements = -0.098 eV/atom

# PBE Ce5GaGe, relaxed
data_Ce5GaGe
_chemical_formula_sum 'Ce20 Ga4 Ge4'
_cell_length_a 8.575
_cell_length_b 7.962
_cell_length_c 10.720
_cell_angle_alpha 90.00
_cell_angle_beta 98.69
_cell_angle_gamma 90.00
_space_group_name_H-M_alt 'C 1 2/c 1'
_space_group_IT_number 15
_space_group_name_Hall '-C 2yc'
loop_
_atom_site_label
_atom_site_fract_x
_atom_site_fract_y
_atom_site_fract_z
_atom_site_occupancy
Ce1 0.000 0.152 0.250 1
Ce2 0.153 0.415 0.520 1
Ce3 0.210 0.184 0.831 1
Ga1 0.000 0.000 0.000 1
Ge1 0.000 0.479 0.750 1
# Formation energy from the elements = -0.252 eV/atom

# PBE BaPuMnSe4, relaxed
data_BaPuMnSe4
_chemical_formula_sum 'Ba2 Pu2 Mn2 Se8'
_cell_length_a 6.865
_cell_length_b 6.593
_cell_length_c 8.965
_cell_angle_alpha 90.00
_cell_angle_beta 108.11
_cell_angle_gamma 90.00
_space_group_name_H-M_alt 'P 1 21/m 1'
_space_group_IT_number 11
_space_group_name_Hall '-P 2yb'
loop_
_atom_site_label
_atom_site_fract_x
_atom_site_fract_y
_atom_site_fract_z
_atom_site_occupancy
Ba1 0.245 0.250 0.438 1
Pu1 0.264 0.250 0.945 1
Mn1 0.269 0.750 0.178 1
Se1 0.067 0.750 0.912 1
Se2 0.078 0.750 0.361 1
Se3 0.479 0.513 0.777 1
# Raw formation energy = -1.2599 eV per atom

# PBE Dy5Tm4, relaxed
data_Dy5Tm4
_chemical_formula_sum 'Dy10 Tm8'
_cell_length_a 9.6026
_cell_length_b 9.6026
_cell_length_c 6.9286
_cell_angle_alpha 90.00
_cell_angle_beta 90.00
_cell_angle_gamma 120.00
_space_group_name_H-M_alt 'P 63/m c m'
_space_group_IT_number 193
_space_group_name_Hall '-P 6c 2'
loop_
_atom_site_label
_atom_site_fract_x
_atom_site_fract_y
_atom_site_fract_z
_atom_site_occupancy
Dy1 0.0000 0.3076 0.2500 1
Dy2 0.3333 0.6667 0.0000 1
Tm1 0.0000 0.0000 0.0000 1
Tm2 0.0000 0.3559 0.7500 1
# Formation energy from the elements = 0.063 eV/atom
# Relative energy among the computed polymorphs = 40 meV per atom

# PBE TbPm2Pr3Y6, relaxed
data_TbPm2Pr3Y6
_chemical_formula_sum 'Tb2 Pm4 Pr6 Y12'
_cell_length_a 6.283
_cell_length_b 10.881
_cell_length_c 11.901
_cell_angle_alpha 90.00
_cell_angle_beta 100.09
_cell_angle_gamma 90.00
_space_group_name_H-M_alt 'C 1 2/m 1'
_space_group_IT_number 12
_space_group_name_Hall '-C 2y'
loop_
_atom_site_label
_atom_site_fract_x
_atom_site_fract_y
_atom_site_fract_z
_atom_site_occupancy
Tb1 0.000 0.000 0.000 1
Pm1 0.000 0.334 0.000 1
Pr1 0.000 0.167 0.500 1
Pr2 0.000 0.500 0.500 1
Y1 0.249 0.167 0.248 1
Y2 0.250 0.000 0.752 1
# Formation energy from the elements = 0.011 eV/atom

# PBE V2OsPbN, relaxed
data_V2OsPbN
_chemical_formula_sum 'V2 Os1 Pb1 N1'
_cell_length_a 4.081
_cell_length_b 4.081
_cell_length_c 4.158
_cell_angle_alpha 90.00
_cell_angle_beta 90.00
_cell_angle_gamma 90.00
_space_group_name_H-M_alt 'P 4/m m m'
_space_group_IT_number 123
_space_group_name_Hall '-P 4 2'
loop_
_atom_site_label
_atom_site_fract_x
_atom_site_fract_y
_atom_site_fract_z
_atom_site_occupancy
V1 0.000 0.500 0.000 1
Os1 0.000 0.000 0.500 1
Pb1 0.500 0.500 0.500 1
N1 0.000 0.000 0.000 1
# Raw formation energy = 0.0877 eV per atom

# PBE Rb3TcS, relaxed
data_Rb3TcS
_chemical_formula_sum 'Rb3 Tc1 S1'
_cell_length_a 6.400
_cell_length_b 6.400
_cell_length_c 6.400
_cell_angle_alpha 90.00
_cell_angle_beta 90.00
_cell_angle_gamma 90.00
_space_group_name_H-M_alt 'P m -3 m'
_space_group_IT_number 221
_space_group_name_Hall '-P 4 2 3'
loop_
_atom_site_label
_atom_site_fract_x
_atom_site_fract_y
_atom_site_fract_z
_atom_site_occupancy
Rb1 0.000 0.000 0.500 1
Tc1 0.500 0.500 0.500 1
S1 0.000 0.000 0.000 1
# Raw formation energy = 0.5004 eV per atom
# Relative energy among the computed polymorphs = 0 meV per atom

# PBE HoSc4Ag5, relaxed
data_HoSc4Ag5
_chemical_formula_sum 'Ho1 Sc4 Ag5'
_cell_length_a 3.445
_cell_length_b 3.445
_cell_length_c 17.619
_cell_angle_alpha 90.00
_cell_angle_beta 90.00
_cell_angle_gamma 90.00
_space_group_name_H-M_alt 'P 4/m m m'
_space_group_IT_number 123
_space_group_name_Hall '-P 4 2'
loop_
_atom_site_label
_atom_site_fract_x
_atom_site_fract_y
_atom_site_fract_z
_atom_site_occupancy
Ho1 0.000 0.000 0.000 1
Sc1 0.000 0.000 0.206 1
Sc2 0.000 0.000 0.402 1
Ag1 0.500 0.500 0.112 1
Ag2 0.500 0.500 0.304 1
Ag3 0.500 0.500 0.500 1
# Formation energy from the elements = -0.282 eV/atom

# PBE SrTc2Ir, relaxed
data_SrTc2Ir
_chemical_formula_sum 'Sr4 Tc8 Ir4'
_cell_length_a 6.525
_cell_length_b 6.525
_cell_length_c 6.525
_cell_angle_alpha 90.00
_cell_angle_beta 90.00
_cell_angle_gamma 90.00
_space_group_name_H-M_alt 'F m -3 m'
_space_group_IT_number 225
_space_group_name_Hall '-F 4 2 3'
loop_
_atom_site_label
_atom_site_fract_x
_atom_site_fract_y
_atom_site_fract_z
_atom_site_occupancy
Sr1 0.000 0.000 0.000 1
Tc1 0.250 0.250 0.250 1
Ir1 0.000 0.000 0.500 1
# Formation energy from the elements = 0.907 eV/atom
# Relative energy among the computed polymorphs = 526 meV per atom

# PBE DyHo2AlAu4, relaxed
data_DyHo2AlAu4
_chemical_formula_sum 'Dy3 Ho6 Al3 Au12'
_cell_length_a 4.9351
_cell_length_b 4.9351
_cell_length_c 24.5531
_cell_angle_alpha 90.00
_cell_angle_beta 90.00
_cell_angle_gamma 120.00
_space_group_name_H-M_alt 'R -3 m'
_space_group_IT_number 166
_space_group_name_Hall '-R 3 2"'
loop_
_atom_site_label
_atom_site_fract_x
_atom_site_fract_y
_atom_site_fract_z
_atom_site_occupancy
Dy1 0.0000 0.0000 0.0000 1
Ho1 0.0000 0.0000 0.2432 1
Al1 0.0000 0.0000 0.5000 1
Au1 0.0000 0.0000 0.1218 1
Au2 0.0000 0.0000 0.3813 1
# Formation energy from the elements = -0.770 eV/atom

# PBE Li3PbSe, relaxed
data_Li3PbSe
_chemical_formula_sum 'Li3 Pb1 Se1'
_cell_length_a 4.840
_cell_length_b 4.840
_cell_length_c 4.840
_cell_angle_alpha 90.00
_cell_angle_beta 90.00
_cell_angle_gamma 90.00
_space_group_name_H-M_alt 'P m -3 m'
_space_group_IT_number 221
_space_group_name_Hall '-P 4 2 3'
loop_
_atom_site_label
_atom_site_fract_x
_atom_site_fract_y
_atom_site_fract_z
_atom_site_occupancy
Li1 0.000 0.000 0.500 1
Pb1 0.500 0.500 0.500 1
Se1 0.000 0.000 0.000 1
# Raw formation energy = -0.5321 eV per atom
# Relative energy among the computed polymorphs = 0 meV per atom

# PBE Cs2BiSe3, relaxed
data_Cs2BiSe3
_chemical_formula_sum 'Cs4 Bi2 Se6'
_cell_length_a 4.139
_cell_length_b 6.671
_cell_length_c 16.383
_cell_angle_alpha 90.00
_cell_angle_beta 90.00
_cell_angle_gamma 90.00
_space_group_name_H-M_alt 'I m m m'
_space_group_IT_number 71
_space_group_name_Hall '-I 2 2'
loop_
_atom_site_label
_atom_site_fract_x
_atom_site_fract_y
_atom_site_fract_z
_atom_site_occupancy
Cs1 0.000 0.000 0.179 1
Bi1 0.000 0.000 0.500 1
Se1 0.000 0.500 0.124 1
Se2 0.000 0.500 0.500 1
# Raw formation energy = -0.6252 eV per atom

# PBE La4GaSe2Cl, relaxed
data_La4GaSe2Cl
_chemical_formula_sum 'La16 Ga4 Se8 Cl4'
_cell_length_a 8.572
_cell_length_b 8.748
_cell_length_c 12.235
_cell_angle_alpha 90.00
_cell_angle_beta 90.00
_cell_angle_gamma 90.00
_space_group_name_H-M_alt 'I m m a'
_space_group_IT_number 74
_space_group_name_Hall '-I 2b 2'
loop_
_atom_site_label
_atom_site_fract_x
_atom_site_fract_y
_atom_site_fract_z
_atom_site_occupancy
La1 0.000 0.000 0.249 1
La2 0.244 0.250 0.002 1
Ga1 0.250 0.250 0.250 1
Se1 0.000 0.000 0.000 1
Se2 0.250 0.250 0.750 1
Cl1 0.000 0.000 0.500 1
# Raw formation energy = -1.5430 eV per atom

# PBE Ta2TcP, relaxed
data_Ta2TcP
_chemical_formula_sum 'Ta6 Tc3 P3'
_cell_length_a 3.2585
_cell_length_b 3.2585
_cell_length_c 21.7642
_cell_angle_alpha 90.00
_cell_angle_beta 90.00
_cell_angle_gamma 120.00
_space_group_name_H-M_alt 'R -3 m'
_space_group_IT_number 166
_space_group_name_Hall '-R 3 2"'
loop_
_atom_site_label
_atom_site_fract_x
_atom_site_fract_y
_atom_site_fract_z
_atom_site_occupancy
Ta1 0.0000 0.0000 0.2427 1
Tc1 0.0000 0.0000 0.0000 1
P1 0.0000 0.0000 0.5000 1
# Formation energy from the elements = -0.178 eV/atom

# PBE Ac2ErBi, relaxed
data_Ac2ErBi
_chemical_formula_sum 'Ac2 Er1 Bi1'
_cell_length_a 4.413
_cell_length_b 4.413
_cell_length_c 7.670
_cell_angle_alpha 90.00
_cell_angle_beta 90.00
_cell_angle_gamma 90.00
_space_group_name_H-M_alt 'P 4/m m m'
_space_group_IT_number 123
_space_group_name_Hall '-P 4 2'
loop_
_atom_site_label
_atom_site_fract_x
_atom_site_fract_y
_atom_site_fract_z
_atom_site_occupancy
Ac1 0.000 0.000 0.235 1
Er1 0.500 0.500 0.500 1
Bi1 0.500 0.500 0.000 1
# Formation energy from the elements = -0.327 eV/atom
# Relative energy among the computed polymorphs = 0 meV per atom

# PBE In2Hg2Sb, relaxed
data_In2Hg2Sb
_chemical_formula_sum 'In4 Hg4 Sb2'
_cell_length_a 8.972
_cell_length_b 8.972
_cell_length_c 3.428
_cell_angle_alpha 90.00
_cell_angle_beta 90.00
_cell_angle_gamma 90.00
_space_group_name_H-M_alt 'P 4/m b m'
_space_group_IT_number 127
_space_group_name_Hall '-P 4 2ab'
loop_
_atom_site_label
_atom_site_fract_x
_atom_site_fract_y
_atom_site_fract_z
_atom_site_occupancy
In1 0.189 0.311 0.000 1
Hg1 0.118 0.618 0.500 1
Sb1 0.000 0.000 0.000 1
# Raw formation energy = 0.0861 eV per atom
# Relative energy among the computed polymorphs = 2 meV per atom

# PBE MnCrSn2Au, relaxed
data_MnCrSn2Au
_chemical_formula_sum 'Mn1 Cr1 Sn2 Au1'
_cell_length_a 5.231
_cell_length_b 5.231
_cell_length_c 5.002
_cell_angle_alpha 90.00
_cell_angle_beta 90.00
_cell_angle_gamma 90.00
_space_group_name_H-M_alt 'P 4/m m m'
_space_group_IT_number 123
_space_group_name_Hall '-P 4 2'
loop_
_atom_site_label
_atom_site_fract_x
_atom_site_fract_y
_atom_site_fract_z
_atom_site_occupancy
Mn1 0.000 0.000 0.000 1
Cr1 0.500 0.500 0.000 1
Sn1 0.000 0.500 0.500 1
Au1 0.500 0.500 0.500 1
# Formation energy from the elements = 1.382 eV/atom

# PBE NaSrClF2, relaxed
data_NaSrClF2
_chemical_formula_sum 'Na2 Sr2 Cl2 F4'
_cell_length_a 4.058
_cell_length_b 4.058
_cell_length_c 12.828
_cell_angle_alpha 90.00
_cell_angle_beta 90.00
_cell_angle_gamma 90.00
_space_group_name_H-M_alt 'I 4 m m'
_space_group_IT_number 107
_space_group_name_Hall 'I 4 -2'
loop_
_atom_site_label
_atom_site_fract_x
_atom_site_fract_y
_atom_site_fract_z
_atom_site_occupancy
Na1 0.000 0.000 0.000 1
Sr1 0.000 0.000 0.323 1
Cl1 0.000 0.000 0.699 1
F1 0.000 0.500 0.423 1
# Raw formation energy = -2.9691 eV per atom